Here is Pm2BeRh3 after structural relaxation from Alexandria via LeMat-Bulk. Energies are from PBE-GGA.

a b c (Å): 5.604 5.604 7.809
angles (deg): 90.00 90.00 120.00
Sites, in units of the cell vectors:
Pm 0.333 0.667 0.057
Pm 0.333 0.667 0.443
Pm 0.667 0.333 0.557
Pm 0.667 0.333 0.943
Be 0.000 0.000 0.000
Be 0.000 0.000 0.500
Rh 0.161 0.322 0.750
Rh 0.161 0.839 0.750
Rh 0.322 0.161 0.250
Rh 0.678 0.839 0.750
Rh 0.839 0.161 0.250
Rh 0.839 0.678 0.250

## Properties
M_tot: 0.00 μB/f.u.
Electronic total energy: -0.239 Ha/atom
Crystal system: hexagonal
E_form: -630 meV/atom